Entry from Alexandria: a geometry-optimized Cs3MnRe structure (GGA-PBE).

abc: 6.2054 6.2054 6.2054
angles: 90.00 90.00 90.00
Last column: nearest neighbours and their distance in Å.
Positions (direct):
1 Cs 0.0000 0.0000 0.5000  2 Re 3.10
2 Cs 0.0000 0.5000 0.0000  2 Re 3.10
3 Cs 0.5000 0.0000 0.0000  2 Re 3.10
4 Mn 0.5000 0.5000 0.5000  12 Cs 4.39
5 Re 0.0000 0.0000 0.0000  6 Cs 3.10

Computed properties:
Calculated total energy, eV/cell: -14.8
ρ, g cm⁻³: 4.45
Crystal system: cubic